VASP calculation (PBE-GGA) on Be2Ni2W after structural relaxation.

Results
E_tot   -6.463 eV per atom
Energy relative to the elements   -0.35 eV per formula unit
Volume   108 Å³/cell
N(E_F)   2.8 states/eV/f.u.
Relative energy among the computed polymorphs   101 meV/atom

Geometry as POSCAR:
```
Be2Ni2W
1.0
6.558 0.000 0.000
0.000 6.558 0.000
0.000 0.000 2.516
Be Ni W
4 4 2
Cartesian
1.092 2.188 0.000
2.188 5.467 0.000
4.371 1.092 0.000
5.467 4.371 0.000
0.850 4.129 1.258
2.429 0.850 1.258
4.129 5.708 1.258
5.708 2.429 1.258
0.000 0.000 1.258
3.279 3.279 1.258
```